# 1
This record from the Alexandria database describes Ag2MoP after structural relaxation. The functional is PBE.

a b c (Å): 9.387 9.387 9.387
angles (deg): 17.61 17.61 17.61
Atoms (fractional coordinates):
1 Ag 0.247 0.247 0.247
2 Ag 0.753 0.753 0.753
3 Mo 0.000 0.000 0.000
4 P 0.500 0.500 0.500

## Properties
* DFT formation energy: 49.9 kJ/mol of atoms



# 2
This record from the Alexandria database describes Ag4MoP after structural relaxation. The functional is PBE.

a b c (Å): 5.433 5.433 5.433
angles (deg): 60.00 60.00 60.00
Atoms (fractional coordinates):
1 Ag 0.125 0.125 0.125
2 Ag 0.125 0.125 0.626
3 Ag 0.125 0.626 0.125
4 Ag 0.626 0.125 0.125
5 Mo 0.750 0.750 0.750
6 P 0.500 0.500 0.500

## Properties
* DFT formation energy: 73.5 kJ/mol of atoms



# 3
This record from the Alexandria database describes Ag2MoP after structural relaxation. The functional is PBE.

a b c (Å): 5.378 5.378 2.706
angles (deg): 90.00 90.00 122.33
Atoms (fractional coordinates):
1 Ag 0.000 0.500 0.000
2 Ag 0.500 0.000 0.000
3 Mo 0.000 0.000 0.500
4 P 0.500 0.500 0.500

## Properties
* DFT formation energy: 40.7 kJ/mol of atoms



# 4
This record from the Alexandria database describes Ag2MoP after structural relaxation. The functional is PBE.

a b c (Å): 2.832 2.832 8.921
angles (deg): 90.00 90.00 108.36
Atoms (fractional coordinates):
1 Ag 0.000 0.000 0.000
2 Ag 0.500 0.500 0.261
3 Mo 0.000 0.000 0.528
4 P 0.500 0.500 0.721

## Properties
* DFT formation energy: 20.8 kJ/mol of atoms



# 5
This record from the Alexandria database describes Ag2MoP after structural relaxation. The functional is PBE.

a b c (Å): 4.553 4.553 5.511
angles (deg): 109.98 109.98 39.91
Atoms (fractional coordinates):
1 Ag 0.000 0.000 0.000
2 Ag 0.220 0.220 0.762
3 Mo 0.792 0.792 0.356
4 P 0.510 0.510 0.394

## Properties
* DFT formation energy: 23.3 kJ/mol of atoms



# 6
This record from the Alexandria database describes Ag2MoP after structural relaxation. The functional is PBE.

a b c (Å): 2.729 2.729 8.943
angles (deg): 90.00 90.00 94.32
Atoms (fractional coordinates):
1 Ag 0.000 0.000 0.248
2 Ag 0.000 0.000 0.752
3 Mo 0.500 0.500 0.500
4 P 0.500 0.500 0.000

## Properties
* DFT formation energy: 45.6 kJ/mol of atoms



# 7
This record from the Alexandria database describes Ag2MoP after structural relaxation. The functional is PBE.

a b c (Å): 3.104 3.104 6.846
angles (deg): 90.00 90.00 90.00
Atoms (fractional coordinates):
1 Ag 0.000 0.000 0.000
2 Ag 0.500 0.500 0.275
3 Mo 0.000 0.000 0.560
4 P 0.500 0.500 0.721

## Properties
* DFT formation energy: 8.5 kJ/mol of atoms



# 8
This record from the Alexandria database describes Ag2MoP after structural relaxation. The functional is PBE.

a b c (Å): 4.478 4.478 4.478
angles (deg): 60.00 60.00 60.00
Atoms (fractional coordinates):
1 Ag 0.000 0.000 0.000
2 Ag 0.250 0.250 0.250
3 Mo 0.500 0.500 0.500
4 P 0.750 0.750 0.750

## Properties
* DFT formation energy: 46.8 kJ/mol of atoms



# 9
This record from the Alexandria database describes Ag2MoP after structural relaxation. The functional is PBE.

a b c (Å): 6.342 6.342 6.342
angles (deg): 153.18 143.56 45.82
Atoms (fractional coordinates):
1 Ag 0.194 0.194 0.000
2 Ag 0.806 0.806 0.000
3 Mo 0.500 0.000 0.500
4 P 0.000 0.500 0.500

## Properties
* DFT formation energy: 24.9 kJ/mol of atoms



# 10
This record from the Alexandria database describes Ag2MoP after structural relaxation. The functional is PBE.

a b c (Å): 3.040 4.262 5.028
angles (deg): 90.00 90.00 90.00
Atoms (fractional coordinates):
1 Ag 0.000 0.000 0.000
2 Ag 0.500 0.500 0.000
3 Mo 0.000 0.500 0.500
4 P 0.500 0.000 0.500

## Properties
* DFT formation energy: 36.2 kJ/mol of atoms



# 11
This record from the Alexandria database describes Ag2MoP after structural relaxation. The functional is PBE.

a b c (Å): 2.787 4.780 5.053
angles (deg): 90.00 103.43 90.00
Atoms (fractional coordinates):
1 Ag 0.160 0.000 0.260
2 Ag 0.840 0.000 0.740
3 Mo 0.500 0.500 0.000
4 P 0.500 0.500 0.500

## Properties
* DFT formation energy: 38.0 kJ/mol of atoms



# 12
This record from the Alexandria database describes Ag2MoP after structural relaxation. The functional is PBE.

a b c (Å): 5.854 5.854 5.854
angles (deg): 100.35 100.35 129.83
Atoms (fractional coordinates):
1 Ag 0.080 0.125 0.455
2 Ag 0.375 0.920 0.045
3 Ag 0.670 0.625 0.545
4 Ag 0.875 0.330 0.955
5 Mo 0.250 0.750 0.500
6 Mo 0.500 0.500 0.000
7 P 0.000 0.000 0.000
8 P 0.750 0.250 0.500

## Properties
* DFT formation energy: 55.7 kJ/mol of atoms



# 13
This record from the Alexandria database describes Ag2MoP after structural relaxation. The functional is PBE.

a b c (Å): 3.711 3.711 4.733
angles (deg): 90.00 90.00 90.00
Atoms (fractional coordinates):
1 Ag 0.000 0.500 0.000
2 Ag 0.500 0.000 0.000
3 Mo 0.000 0.000 0.500
4 P 0.500 0.500 0.500

## Properties
* DFT formation energy: 40.0 kJ/mol of atoms



# 14
This record from the Alexandria database describes Ag2MoP after structural relaxation. The functional is PBE.

a b c (Å): 3.270 6.747 6.747
angles (deg): 26.82 90.00 90.00
Atoms (fractional coordinates):
1 Ag 0.000 0.000 0.000
2 Ag 0.500 0.367 0.367
3 Mo 0.500 0.648 0.648
4 P 0.000 0.215 0.215

## Properties
* DFT formation energy: 7.6 kJ/mol of atoms



# 15
This record from the Alexandria database describes Ag2MoP after structural relaxation. The functional is PBE.

a b c (Å): 5.553 5.553 5.553
angles (deg): 141.35 141.35 55.81
Atoms (fractional coordinates):
1 Ag 0.250 0.750 0.500
2 Ag 0.750 0.250 0.500
3 Mo 0.000 0.000 0.000
4 P 0.500 0.500 0.000

## Properties
* DFT formation energy: 45.3 kJ/mol of atoms



# 16
This record from the Alexandria database describes AgMo4P after structural relaxation. The functional is PBE.

a b c (Å): 5.233 5.233 5.233
angles (deg): 60.00 60.00 60.00
Atoms (fractional coordinates):
1 Ag 0.000 0.000 0.000
2 Mo 0.121 0.626 0.626
3 Mo 0.626 0.121 0.626
4 Mo 0.626 0.626 0.121
5 Mo 0.626 0.626 0.626
6 P 0.250 0.250 0.250

## Properties
* DFT formation energy: 72.3 kJ/mol of atoms



# 17
This record from the Alexandria database describes Ag2MoP after structural relaxation. The functional is PBE.

a b c (Å): 5.496 5.496 5.496
angles (deg): 146.57 131.29 60.37
Atoms (fractional coordinates):
1 Ag 0.000 0.000 0.000
2 Ag 0.706 0.206 0.500
3 Mo 0.424 0.424 0.000
4 P 0.243 0.743 0.500

## Properties
* DFT formation energy: 43.0 kJ/mol of atoms



# 18
This record from the Alexandria database describes Ag2MoP after structural relaxation. The functional is PBE.

a b c (Å): 2.734 4.616 5.250
angles (deg): 90.00 90.00 90.00
Atoms (fractional coordinates):
1 Ag 0.000 0.000 0.247
2 Ag 0.000 0.000 0.753
3 Mo 0.500 0.500 0.000
4 P 0.500 0.500 0.500

## Properties
* DFT formation energy: 47.9 kJ/mol of atoms



# 19
This record from the Alexandria database describes AgMoP2Rh after structural relaxation. The functional is PBE.

a b c (Å): 4.455 4.455 5.235
angles (deg): 90.00 90.00 90.00
Atoms (fractional coordinates):
1 Ag 0.000 0.000 0.000
2 Mo 0.500 0.500 0.000
3 P 0.000 0.500 0.500
4 P 0.500 0.000 0.500
5 Rh 0.500 0.500 0.500

## Properties
* DFT formation energy: 100.1 kJ/mol of atoms



# 20
This record from the Alexandria database describes AgMoP2S after structural relaxation. The functional is PBE.

a b c (Å): 4.753 4.753 4.628
angles (deg): 90.00 90.00 90.00
Atoms (fractional coordinates):
1 Ag 0.000 0.000 0.000
2 Mo 0.500 0.500 0.500
3 P 0.000 0.500 0.500
4 P 0.500 0.000 0.500
5 S 0.500 0.500 0.000

## Properties
* ΔE_f (raw): 46 kJ per mole of atoms
* energy above the lowest structure with this stoichiometry: 0.000 eV/atom



# 21
This record from the Alexandria database describes AgMoPS2 after structural relaxation. The functional is PBE.

a b c (Å): 4.657 4.657 4.835
angles (deg): 90.00 90.00 90.00
Atoms (fractional coordinates):
1 Ag 0.000 0.000 0.000
2 Mo 0.500 0.500 0.500
3 P 0.500 0.500 0.000
4 S 0.000 0.500 0.500
5 S 0.500 0.000 0.500

## Properties
* ΔE_f (raw): 32 kJ per mole of atoms
* energy above the lowest structure with this stoichiometry: 0.000 eV/atom



# 22
This record from the Alexandria database describes AgMoP2S after structural relaxation. The functional is PBE.

a b c (Å): 4.702 4.702 4.824
angles (deg): 90.00 90.00 90.00
Atoms (fractional coordinates):
1 Ag 0.000 0.000 0.000
2 Mo 0.500 0.500 0.500
3 P 0.000 0.500 0.000
4 P 0.500 0.000 0.000
5 S 0.000 0.000 0.500

## Properties
* ΔE_f (raw): 140 kJ per mole of atoms
* energy above the lowest structure with this stoichiometry: 0.968 eV/atom



# 23
This record from the Alexandria database describes AgMoPS2 after structural relaxation. The functional is PBE.

a b c (Å): 4.780 4.780 4.731
angles (deg): 90.00 90.00 90.00
Atoms (fractional coordinates):
1 Ag 0.000 0.000 0.000
2 Mo 0.500 0.500 0.500
3 P 0.000 0.000 0.500
4 S 0.000 0.500 0.000
5 S 0.500 0.000 0.000

## Properties
* ΔE_f (raw): 127 kJ per mole of atoms
* energy above the lowest structure with this stoichiometry: 0.980 eV/atom



# 24
This record from the Alexandria database describes Pa2AgMo after structural relaxation. The functional is PBE.

a b c (Å): 10.916 10.916 10.916
angles (deg): 16.35 16.35 16.35
Atoms (fractional coordinates):
1 Pa 0.095 0.095 0.095
2 Pa 0.905 0.905 0.905
3 Ag 0.000 0.000 0.000
4 Mo 0.500 0.500 0.500

## Properties
* DFT formation energy: 38.3 kJ/mol of atoms
* energy above the lowest structure with this stoichiometry: 0.228 eV/atom



# 25
This record from the Alexandria database describes Pa2AgMo after structural relaxation. The functional is PBE.

a b c (Å): 3.310 3.310 8.210
angles (deg): 90.00 90.00 90.00
Atoms (fractional coordinates):
1 Pa 0.000 0.000 0.218
2 Pa 0.000 0.000 0.782
3 Ag 0.500 0.500 0.500
4 Mo 0.500 0.500 0.000

## Properties
* DFT formation energy: 16.3 kJ/mol of atoms
* energy above the lowest structure with this stoichiometry: 0.000 eV/atom



# 26
This record from the Alexandria database describes PaAg2Mo2S6 after structural relaxation. The functional is PBE.

a b c (Å): 6.036 6.036 8.101
angles (deg): 99.69 99.69 118.53
Atoms (fractional coordinates):
1 Pa 0.000 0.000 0.000
2 Ag 0.198 0.802 0.500
3 Ag 0.802 0.198 0.500
4 Mo 0.370 0.630 0.000
5 Mo 0.630 0.370 0.000
6 S 0.078 0.707 0.188
7 S 0.293 0.922 0.812
8 S 0.438 0.438 0.221
9 S 0.562 0.562 0.779
10 S 0.707 0.078 0.188
11 S 0.922 0.293 0.812

## Properties
* ΔE_f (raw): -72 kJ per mole of atoms



# 27
This record from the Alexandria database describes Ag2MoPb after structural relaxation. The functional is PBE.

a b c (Å): 2.974 5.218 5.064
angles (deg): 90.00 92.48 90.00
Atoms (fractional coordinates):
1 Ag 0.242 0.000 0.236
2 Ag 0.758 0.000 0.764
3 Mo 0.500 0.500 0.000
4 Pb 0.000 0.500 0.500

## Properties
* DFT formation energy: 55.9 kJ/mol of atoms



# 28
This record from the Alexandria database describes Ag4MoPb after structural relaxation. The functional is PBE.

a b c (Å): 5.573 5.573 5.573
angles (deg): 60.00 60.00 60.00
Atoms (fractional coordinates):
1 Ag 0.124 0.124 0.124
2 Ag 0.124 0.124 0.627
3 Ag 0.124 0.627 0.124
4 Ag 0.627 0.124 0.124
5 Mo 0.750 0.750 0.750
6 Pb 0.500 0.500 0.500

## Properties
* DFT formation energy: 51.8 kJ/mol of atoms



# 29
This record from the Alexandria database describes AgMoPb2 after structural relaxation. The functional is PBE.

a b c (Å): 3.170 3.170 9.474
angles (deg): 90.00 90.00 106.97
Atoms (fractional coordinates):
1 Ag 0.000 0.000 0.000
2 Mo 0.000 0.000 0.500
3 Pb 0.500 0.500 0.267
4 Pb 0.500 0.500 0.733

## Properties
* DFT formation energy: 57.3 kJ/mol of atoms
* energy above the lowest structure with this stoichiometry: 0.112 eV/atom



no.,Fermi-level density of states (states/eV/f.u.)
1,3.4
2,2.9
3,1.8
4,1.5
5,1.6
6,2.1
7,1.8
8,2.6
9,2.1
10,3.1
11,2.9
12,3.0
13,3.0
14,2.8
15,2.5
16,6.3
17,3.6
18,3.0
19,5.8
20,3.9
21,4.3
22,3.5
23,3.4
24,4.5
25,6.1
26,4.4
27,3.1
28,2.3
29,3.5